VASP calculation (GGA+U) on MnBeOF2 after structural relaxation.

a = 3.997 Å, b = 3.997 Å, c = 3.944 Å
α = 90.00°, β = 90.00°, γ = 90.00°
Atoms (fractional coordinates):
1 Mn 0.000 0.000 0.000
2 Be 0.500 0.500 0.500
3 O 0.000 0.000 0.500
4 F 0.000 0.500 0.000
5 F 0.500 0.000 0.000

For the total magnetization, the calculation gives 4.63 μB per cell. The calculation puts the polymorph energy (0 for the lowest one) at 5.52 eV per formula unit. As for the total energy: -0.37540 Ry/atom.

VASP calculation (GGA+U) on MnBeOF2 after structural relaxation.

a = 3.327 Å, b = 3.327 Å, c = 4.122 Å
α = 90.00°, β = 90.00°, γ = 90.00°
Atoms (fractional coordinates):
1 Mn 0.000 0.000 0.000
2 Be 0.500 0.500 0.500
3 O 0.500 0.500 0.000
4 F 0.000 0.500 0.500
5 F 0.500 0.000 0.500

For the total magnetization, the calculation gives 5.00 μB per cell. The calculation puts the polymorph energy (0 for the lowest one) at 0.00 eV per formula unit. As for the total energy: -0.45650 Ry/atom.

VASP calculation (GGA+U) on Mn2BePbF8 after structural relaxation.

a = 4.946 Å, b = 6.694 Å, c = 4.951 Å
α = 90.00°, β = 94.27°, γ = 90.00°
Atoms (fractional coordinates):
1 Mn 0.000 0.225 0.000
2 Mn 0.000 0.775 0.000
3 Be 0.500 0.000 0.500
4 Pb 0.500 0.500 0.500
5 F 0.171 0.500 0.835
6 F 0.211 0.000 0.791
7 F 0.318 0.183 0.320
8 F 0.318 0.817 0.320
9 F 0.682 0.183 0.680
10 F 0.682 0.817 0.680
11 F 0.789 0.000 0.209
12 F 0.829 0.500 0.165

For the total magnetization, the calculation gives 10.00 μB per cell. As for the total energy: -0.41989 Ry/atom.

VASP calculation (GGA+U) on MnBe2PtF after structural relaxation.

a = 4.210 Å, b = 4.210 Å, c = 5.243 Å
α = 90.00°, β = 90.00°, γ = 90.00°
Atoms (fractional coordinates):
1 Mn 0.000 0.000 0.000
2 Be 0.000 0.500 0.500
3 Be 0.500 0.000 0.500
4 Pt 0.000 0.000 0.500
5 F 0.500 0.500 0.000

For the total magnetization, the calculation gives 5.09 μB per cell. As for the total energy: -0.34303 Ry/atom.

VASP calculation (GGA+U) on MnBeReF2 after structural relaxation.

a = 3.706 Å, b = 3.706 Å, c = 6.164 Å
α = 90.00°, β = 90.00°, γ = 90.00°
Atoms (fractional coordinates):
1 Mn 0.000 0.000 0.000
2 Be 0.500 0.500 0.500
3 Re 0.000 0.000 0.500
4 F 0.000 0.500 0.000
5 F 0.500 0.000 0.000

For the total magnetization, the calculation gives 2.08 μB per cell. As for the total energy: -0.41408 Ry/atom.

VASP calculation (GGA+U) on MnBeRe2F after structural relaxation.

a = 4.474 Å, b = 4.474 Å, c = 4.153 Å
α = 90.00°, β = 90.00°, γ = 90.00°
Atoms (fractional coordinates):
1 Mn 0.000 0.000 0.000
2 Be 0.000 0.000 0.500
3 Re 0.000 0.500 0.000
4 Re 0.500 0.000 0.000
5 F 0.500 0.500 0.500

For the total magnetization, the calculation gives 2.73 μB per cell. As for the total energy: -0.41278 Ry/atom.

VASP calculation (GGA+U) on MnBe2SeF after structural relaxation.

a = 4.173 Å, b = 4.173 Å, c = 5.367 Å
α = 90.00°, β = 90.00°, γ = 90.00°
Atoms (fractional coordinates):
1 Mn 0.000 0.000 0.000
2 Be 0.000 0.500 0.500
3 Be 0.500 0.000 0.500
4 Se 0.000 0.000 0.500
5 F 0.500 0.500 0.000

For the total magnetization, the calculation gives 3.94 μB per cell. As for the total energy: -0.26187 Ry/atom.

VASP calculation (GGA+U) on TiMnBeF2 after structural relaxation.

a = 3.919 Å, b = 3.919 Å, c = 5.635 Å
α = 90.00°, β = 90.00°, γ = 90.00°
Atoms (fractional coordinates):
1 Ti 0.000 0.000 0.000
2 Mn 0.500 0.500 0.500
3 Be 0.500 0.500 0.000
4 F 0.000 0.500 0.500
5 F 0.500 0.000 0.500

For the total magnetization, the calculation gives 2.13 μB per cell. As for the total energy: -0.38352 Ry/atom.